(1)
# AsOsW, relaxed, DFT PBE
data_AsOsW
_space_group_name_H-M_alt 'A m m 2'
_space_group_IT_number 38
_space_group_name_Hall 'A 2 -2'
_cell_length_a 12.8443
_cell_length_b 2.8818
_cell_length_c 4.9911
_cell_angle_alpha 90.00
_cell_angle_beta 90.00
_cell_angle_gamma 90.00
loop_
_atom_site_label
_atom_site_fract_x
_atom_site_fract_y
_atom_site_fract_z
_atom_site_occupancy
As1 0.1684 0.0000 0.0000 1
Os1 0.3322 0.0000 0.3320 1
W1 0.0000 0.0000 0.6682 1
W2 0.5000 0.0000 0.6675 1
# - excess energy over the best structure of this formula in the dataset (meV/atom) = 119.2
# - DOS at the Fermi energy (states/eV per cell) = 12.4
# - energy (eV per atom) = -9.286

(2)
# RbV2IrS8, relaxed, DFT PBE
data_RbV2IrS8
_space_group_name_H-M_alt 'R -3'
_space_group_IT_number 148
_space_group_name_Hall '-R 3'
_cell_length_a 6.1314
_cell_length_b 6.1314
_cell_length_c 27.1481
_cell_angle_alpha 90.00
_cell_angle_beta 90.00
_cell_angle_gamma 120.00
loop_
_atom_site_label
_atom_site_fract_x
_atom_site_fract_y
_atom_site_fract_z
_atom_site_occupancy
Rb1 0.0000 0.0000 0.0000 1
V1 0.0000 0.0000 0.2381 1
Ir1 0.0000 0.0000 0.5000 1
S1 0.0000 0.0000 0.3159 1
S2 0.0022 0.3194 0.5493 1
# - DOS at the Fermi energy (states/eV per cell) = 37.7
# - energy (eV per atom) = -5.556
# - formation energy from raw total energies (eV per formula unit) = -5.59